La2Co3CuGe4 | Alexandria via LeMat-Bulk | PBE-GGA | optimized geometry; crystal system = tetragonal; formation energy from the elements = -0.536 eV/atom; SG = No. 115
1.0
4.2206 0.0000 0.0000
0.0000 4.2206 0.0000
0.0000 0.0000 9.7936
Ge La Co Cu
4 2 3 1
Cartesian
2.1103 0.0000 6.2030
2.1103 2.1103 0.0000
0.0000 0.0000 0.0000
0.0000 2.1103 3.5906
2.1103 0.0000 2.4131
0.0000 2.1103 7.3805
0.0000 0.0000 4.8968
0.0000 2.1103 1.1995
2.1103 0.0000 8.5941
2.1103 2.1103 4.8968

ZrBe2Au2 | Alexandria via LeMat-Bulk | PBE-GGA | optimized geometry; crystal system = tetragonal; formation energy from the elements = -0.215 eV/atom; SG = No. 139
1.0
3.6974 0.0000 0.0000
0.0000 3.6974 0.0000
1.8487 1.8487 5.8173
Au Be Zr
2 2 1
Cartesian
3.6974 3.6974 4.4139
1.8487 1.8487 1.4035
1.8487 3.6974 2.9087
3.6974 1.8487 2.9087
0.0000 0.0000 0.0000

Al2CdSi | Alexandria via LeMat-Bulk | PBE-GGA | optimized geometry; crystal system = orthorhombic; uncorrected formation energy = 0.2227 eV per atom; SG = No. 25
1.0
-1.6469 1.7820 1.8098
-2.5783 0.5342 -2.8722
-3.2150 -4.9644 1.9626
Al Si Cd
2 1 1
Cartesian
-3.1441 -4.8549 1.9193
-2.8393 0.0360 -0.0876
-4.7023 -2.8408 1.0497
-1.5770 -2.4351 0.9627

Co2Pb | Alexandria via LeMat-Bulk | PBE-GGA | optimized geometry; crystal system = orthorhombic; formation energy from the elements = 0.360 eV/atom; SG = No. 63
1.0
-4.2529 4.7879 -5.7434
3.6379 -7.1014 3.2146
-3.2647 -0.9285 1.6434
Co Pb
4 2
Cartesian
-2.3953 0.5272 -2.2972
-1.4843 -3.7692 1.4118
-4.7003 1.0764 -2.2391
0.8206 -4.3184 1.3537
-4.3372 3.4531 -4.5017
0.4575 -6.6951 3.6163

MoS2 | Alexandria via LeMat-Bulk | PBE-GGA | optimized geometry; crystal system = cubic; uncorrected formation energy = -0.6090 eV per atom; SG = No. 216
1.0
4.5055 -0.4225 5.0688
-0.6249 4.0169 5.4447
-1.8507 -2.6451 5.9791
Mo S
4 8
Cartesian
-0.5110 -1.0075 4.9247
0.2883 0.1348 2.3424
0.0184 1.8697 4.6939
2.2342 -0.0476 4.5315
0.7821 0.3658 6.3541
2.7631 2.2285 11.3930
2.1182 -1.2764 11.6741
0.4953 2.2092 8.8528
-0.0673 -0.8481 9.0980
-0.5810 1.0592 11.8719
1.7894 0.8369 14.5386
2.8498 0.1719 8.6802

Li6Hg5Pb | Alexandria via LeMat-Bulk | PBE-GGA | optimized geometry; crystal system = monoclinic; formation energy from the elements = -0.352 eV/atom; SG = No. 12
1.0
4.5544 -0.0072 -1.2788
-3.4129 6.6850 -3.4226
-0.1627 -0.9247 8.1957
Li Hg Pb
6 5 1
Cartesian
-0.3038 2.7648 -1.0925
1.2826 2.9882 4.5868
0.1733 5.5854 0.6214
-1.5487 4.2691 3.2294
0.8056 0.1676 2.8728
2.5275 1.4839 0.2649
0.4894 2.8765 1.7471
2.2288 4.1319 -0.8146
-1.2500 1.6211 4.3088
1.5768 0.3305 5.6343
-0.5980 5.4225 -2.1401
0.0000 0.0000 0.0000

Ti4Nb2Ru | Alexandria via LeMat-Bulk | PBE-GGA | optimized geometry; crystal system = triclinic; formation energy from the elements = -0.068 eV/atom; SG = No. 2
1.0
2.7936 -0.5298 0.4865
-0.3492 6.2401 3.2478
-0.3412 0.4616 7.0526
Ti Nb Ru
4 2 1
Cartesian
2.2853 1.4665 5.4718
-0.1821 4.7055 5.3151
0.7728 2.7587 7.5373
1.3304 3.4132 3.2496
0.1965 5.4809 7.9941
1.9067 0.6910 2.7928
0.0000 0.0000 0.0000

BaCa2Ru | Alexandria via LeMat-Bulk | PBE-GGA | optimized geometry; crystal system = tetragonal; formation energy from the elements = 0.443 eV/atom; SG = No. 119
1.0
5.5318 -0.0370 0.0000
0.1265 5.5305 0.0000
-2.8292 -2.7467 3.8799
Ca Ba Ru
2 1 1
Cartesian
0.0000 0.0000 0.0000
0.0632 2.7652 1.9400
2.7659 -0.0185 1.9400
2.8292 2.7467 0.0000

Tb4PrHo3Se8 | Alexandria via LeMat-Bulk | PBE-GGA | optimized geometry; crystal system = trigonal; uncorrected formation energy = -1.7523 eV per atom; SG = No. 166
1.0
8.2144 0.0000 0.0000
0.0000 8.2037 -0.0172
-4.1072 -4.1060 5.8130
Se Ho Tb Pr
8 3 4 1
Cartesian
0.0000 0.0205 2.9181
6.1077 2.0211 0.0123
4.1072 4.0772 2.8778
4.1072 0.0215 2.8437
2.1067 2.0211 0.0123
2.0005 2.0765 5.7835
0.0000 4.0761 2.9522
-2.0005 2.0765 5.7835
2.0536 2.0488 2.8979
4.1072 4.1018 -0.0086
-2.0536 2.0488 2.8979
0.0000 0.0000 0.0000
-2.0536 -2.0530 2.9065
2.0536 -2.0530 2.9065
4.1072 0.0000 0.0000
0.0000 4.1018 -0.0086

Ba3Er2O5F2 | Alexandria via LeMat-Bulk | PBE-GGA | optimized geometry; crystal system = tetragonal; uncorrected formation energy = -3.3171 eV per atom; SG = No. 139
1.0
-1.5090 2.9307 2.9168
1.8629 -2.2901 3.2648
9.3242 5.7380 -4.2625
F O Er Ba
2 5 2 3
Cartesian
4.0623 2.7977 2.6117
5.6158 3.5808 -0.6926
2.9467 0.1399 1.3839
1.2607 2.7503 1.2099
8.4173 3.6282 0.7092
0.1769 0.3203 3.0908
6.7314 6.2386 0.5352
1.9714 1.4645 2.8695
7.7067 4.9141 -0.9504
3.3447 2.1327 -0.4125
0.0000 0.0000 0.0000
6.3334 4.2459 2.3316

Ca2PuN2 | Alexandria via LeMat-Bulk | PBE-GGA | optimized geometry; crystal system = monoclinic; uncorrected formation energy = -0.8532 eV per atom; SG = No. 12
1.0
5.0698 0.0000 0.0000
2.5349 5.6633 0.5076
2.5349 2.4111 6.7583
Ca N Pu
4 4 2
Cartesian
2.5349 4.7648 2.1500
5.0698 2.3809 2.9972
7.6047 3.3095 5.1159
5.0698 5.6934 4.2687
7.6047 5.7116 4.5381
5.0698 5.0295 1.8385
2.5349 2.3628 2.7278
5.0698 3.0449 5.4274
2.5349 1.5520 0.7248
7.6047 6.5223 6.5412

Pr4DyErTm2 | Alexandria via LeMat-Bulk | PBE-GGA | optimized geometry; crystal system = orthorhombic; formation energy from the elements = 0.017 eV/atom; SG = No. 47
1.0
5.1715 0.0000 0.0000
0.0000 5.0463 1.0351
0.0001 3.0400 10.8040
Pr Tm Er Dy
4 2 1 1
Cartesian
2.5858 3.5458 8.3551
0.0001 6.0676 8.8748
2.5858 4.5405 3.4840
5.1715 2.0187 2.9643
2.5858 1.5200 5.4020
0.0001 3.0400 10.8039
0.0001 4.0431 5.9196
2.5858 2.5231 0.5176

NdGa9Pd3 | Alexandria via LeMat-Bulk | PBE-GGA | optimized geometry; crystal system = monoclinic; formation energy from the elements = -0.449 eV/atom; SG = No. 12
1.0
-5.2264 0.3947 1.8458
-3.7652 -5.4464 -1.8386
-0.9326 -2.7863 6.3197
Ga Pd Nd
9 3 1
Cartesian
-1.8826 -2.7232 -0.9193
-5.0026 -2.6262 2.8232
-2.5321 -1.6309 1.5182
-4.9216 -5.2118 3.5037
-1.9153 -3.6651 3.4226
-5.7352 -4.7068 0.8151
-7.3921 -6.2072 4.8087
-4.1890 -3.1312 5.5118
-8.0089 -4.1729 2.9043
-0.4663 -1.3932 3.1598
-3.0795 -1.1958 4.0827
-4.4958 -2.5259 0.0036
0.0000 0.0000 0.0000

LiHfTa2Tc | Alexandria via LeMat-Bulk | PBE-GGA | optimized geometry; crystal system = tetragonal; formation energy from the elements = 1.133 eV/atom; SG = No. 123
1.0
-3.1665 0.6578 -2.8517
-2.9486 -2.3556 2.7308
-1.0564 3.6613 2.0176
Ta Li Hf Tc
2 1 1 1
Cartesian
-1.5833 0.3289 -1.4258
-0.5282 1.8307 1.0088
0.0000 0.0000 0.0000
-1.4743 -1.1778 1.3654
-3.5858 0.9818 0.9484

MgZnSe2 | Alexandria via LeMat-Bulk | PBE-GGA | optimized geometry; crystal system = orthorhombic; uncorrected formation energy = -0.4816 eV per atom; SG = No. 59
1.0
-1.2129 -3.1564 -1.7923
4.9601 -0.7701 -2.0005
2.0863 -4.7847 7.0145
Zn Se Mg
2 4 2
Cartesian
3.2009 -2.0383 1.4235
0.7590 -4.7096 3.6947
2.1235 -2.5365 -1.0559
0.1931 -3.4120 1.7923
1.8363 -4.2114 6.1741
3.7667 -3.3360 3.3259
-0.4064 -2.0369 -0.2236
4.3663 -4.7110 5.3418

AlZnPt2 | Alexandria via LeMat-Bulk | PBE-GGA | optimized geometry; crystal system = trigonal; formation energy from the elements = -0.379 eV/atom; SG = No. 160
1.0
-0.7404 8.5630 1.3327
-2.6171 7.6155 3.2869
0.1766 7.7569 3.9304
Pt Al Zn
2 1 1
Cartesian
-0.0200 0.1504 0.0537
-0.7819 5.8836 2.1017
-2.3822 17.9255 6.4032
-1.5872 11.9435 4.2664

LiTlSbO4 | Alexandria via LeMat-Bulk | PBE-GGA | optimized geometry; crystal system = orthorhombic; uncorrected formation energy = -1.1858 eV per atom; SG = No. 63
1.0
-5.4413 1.9298 -1.1004
0.9603 -0.9063 5.7271
2.1284 6.3729 0.6517
O Sb Li Tl
8 2 2 2
Cartesian
-2.8930 2.3615 3.8361
-0.3935 1.7906 1.2554
0.4516 3.0636 4.3563
0.5403 5.0349 1.4422
-3.8181 1.2973 0.6117
-1.9592 5.6057 4.0229
1.4653 6.0991 4.6666
-2.8043 4.3327 0.9221
1.6301 4.2838 5.2277
-3.9828 3.1125 0.0506
-2.8520 6.2695 0.4474
0.4993 1.1268 4.8309
-2.2405 0.5117 2.3133
-1.1764 3.6982 2.6392

Ge2BiPbO6 | Alexandria via LeMat-Bulk | PBE-GGA | optimized geometry; crystal system = monoclinic; uncorrected formation energy = -1.3127 eV per atom; SG = No. 15
1.0
-3.6583 -0.6024 4.7839
5.0241 -1.0942 5.3313
-0.4084 7.0596 2.2036
O Ge Pb Bi
12 4 2 2
Cartesian
2.6958 1.6300 7.1150
1.2466 -0.9948 7.1538
-0.2893 6.3579 5.1650
-1.5582 4.9683 8.1109
1.7085 0.3127 9.7602
2.5156 0.3947 4.2079
-1.7385 3.7331 5.2038
-0.1685 3.1654 9.8433
1.1258 2.1977 2.4755
1.2435 4.0926 7.2112
-0.7512 5.0504 2.5586
-0.2862 1.2704 5.1076
2.9341 3.3773 6.8251
0.8536 0.7841 3.6782
-1.9768 1.9857 5.4937
0.1037 4.5790 8.6406
3.5078 -0.3416 6.1808
-2.5505 5.7047 6.1380
0.5781 1.0090 7.9392
0.3792 4.3541 4.3796

Ba2CdH6 | Alexandria via LeMat-Bulk | PBE-GGA | optimized geometry; crystal system = cubic; SG = No. 225
1.0
-4.9689 -1.6169 -2.4730
-1.7553 -5.4960 0.3646
-4.5543 -1.3676 3.2883
Ba H Cd
2 6 1
Cartesian
-2.8196 -2.1201 0.2949
-8.4589 -6.3604 0.8849
-5.9681 -5.5275 2.0954
-6.1744 -5.6520 -0.7339
-7.5464 -3.6223 0.7018
-5.1040 -2.8285 1.9137
-5.3104 -2.9530 -0.9156
-3.7321 -4.8582 0.4781
-5.6392 -4.2403 0.5899

AlRu4 | Alexandria via LeMat-Bulk | PBE-GGA | optimized geometry; crystal system = tetragonal; formation energy from the elements = 0.357 eV/atom; SG = No. 139
1.0
-1.8547 1.8547 5.8206
1.8547 -1.8547 5.8206
1.8547 1.8547 -5.8206
Ru Al
4 1
Cartesian
0.0000 0.0000 4.6596
1.8547 0.0000 2.9103
0.0000 1.8547 2.9103
0.0000 0.0000 6.9816
0.0000 0.0000 0.0000

These records have electronic total energy values of -5.91, -4.73, -3.23, -5.61, -6.97, -1.74, -8.78, -3.36, -5.81, -6.94, -7.85, -4.64, -4.11, -8.05, -2.94, -4.65, -5.22, -5.97, -3.04, -7.81 eV/atom, in the order they appear.
These records have size of the total moment values of 0.97, 0.00, 0.00, 3.27, 0.00, 0.00, 0.00, 0.00, 0.00, 0.00, 4.82, 0.00, 0.00, 0.00, 0.00, 0.00, 0.00, 0.00, 0.00, 0.00 μB per formula unit, in the order they appear.